[1]
LaTa2Se: optimized geometry, PBEsol.

Cell and atoms, written as CIF:
```
data_LaTa2Se
_symmetry_space_group_name_H-M 'C 1 m 1'
_symmetry_Int_Tables_number 8
_symmetry_space_group_name_Hall 'C -2y'
_cell_length_a 8.9352
_cell_length_b 3.2930
_cell_length_c 6.1567
_cell_angle_alpha 90.00
_cell_angle_beta 99.98
_cell_angle_gamma 90.00
loop_
_atom_site_label
_atom_site_type_symbol
_atom_site_fract_x
_atom_site_fract_y
_atom_site_fract_z
La1 La 0.0000 0.0000 0.0000
Ta1 Ta 0.2185 0.0000 0.6469
Ta2 Ta 0.4753 0.0000 0.4875
Se1 Se 0.2484 0.5000 0.3084
```

Calculated values
- E_form (uncorrected): -0.022 eV/atom
- Crystal system: monoclinic

---

[2]
Ni2OsPb: optimized geometry, PBEsol.

Cell and atoms, written as CIF:
```
data_Ni2OsPb
_symmetry_space_group_name_H-M 'I -4 m 2'
_symmetry_Int_Tables_number 119
_symmetry_space_group_name_Hall 'I -4 -2'
_cell_length_a 3.8661
_cell_length_b 3.8661
_cell_length_c 7.6289
_cell_angle_alpha 90.00
_cell_angle_beta 90.00
_cell_angle_gamma 90.00
loop_
_atom_site_label
_atom_site_type_symbol
_atom_site_fract_x
_atom_site_fract_y
_atom_site_fract_z
Ni1 Ni 0.0000 0.0000 0.0000
Ni2 Ni 0.0000 0.5000 0.2500
Os1 Os 0.0000 0.0000 0.5000
Pb1 Pb 0.0000 0.5000 0.7500
```

Calculated values
- Crystal system: tetragonal
- ΔH_f (0 K): 0.556 eV/atom

---

[3]
MnMoSe2: optimized geometry, PBEsol.

Cell and atoms, written as CIF:
```
data_MnMoSe2
_symmetry_space_group_name_H-M 'P m m 2'
_symmetry_Int_Tables_number 25
_symmetry_space_group_name_Hall 'P 2 -2'
_cell_length_a 3.4336
_cell_length_b 3.8672
_cell_length_c 6.0220
_cell_angle_alpha 90.00
_cell_angle_beta 90.00
_cell_angle_gamma 90.00
loop_
_atom_site_label
_atom_site_type_symbol
_atom_site_fract_x
_atom_site_fract_y
_atom_site_fract_z
Mn1 Mn 0.0000 0.0000 0.0000
Mo1 Mo 0.5000 0.5000 0.0205
Se1 Se 0.0000 0.5000 0.7283
Se2 Se 0.5000 0.0000 0.2869
```

Calculated values
- E above lowest polymorph: 0.000 eV/f.u.
- E_form (uncorrected): -0.259 eV/atom
- Crystal system: orthorhombic

---

[4]
SrBiB2: optimized geometry, PBEsol.

Cell and atoms, written as CIF:
```
data_SrBiB2
_symmetry_space_group_name_H-M 'I -4 2 d'
_symmetry_Int_Tables_number 122
_symmetry_space_group_name_Hall 'I -4 2bw'
_cell_length_a 7.1021
_cell_length_b 7.1021
_cell_length_c 6.6523
_cell_angle_alpha 90.00
_cell_angle_beta 90.00
_cell_angle_gamma 90.00
loop_
_atom_site_label
_atom_site_type_symbol
_atom_site_fract_x
_atom_site_fract_y
_atom_site_fract_z
Sr1 Sr 0.0000 0.0000 0.0000
Bi1 Bi 0.0000 0.0000 0.5000
B1 B 0.2034 0.2500 0.6250
```

Calculated values
- Crystal system: tetragonal
- ΔH_f (0 K): 1.012 eV/atom

---

[5]
RuPb2Br: optimized geometry, PBEsol.

Cell and atoms, written as CIF:
```
data_RuPb2Br
_symmetry_space_group_name_H-M 'I m m 2'
_symmetry_Int_Tables_number 44
_symmetry_space_group_name_Hall 'I 2 -2'
_cell_length_a 3.2916
_cell_length_b 4.2523
_cell_length_c 14.6973
_cell_angle_alpha 90.00
_cell_angle_beta 90.00
_cell_angle_gamma 90.00
loop_
_atom_site_label
_atom_site_type_symbol
_atom_site_fract_x
_atom_site_fract_y
_atom_site_fract_z
Ru1 Ru 0.0000 0.0000 0.0000
Pb1 Pb 0.0000 0.0000 0.4724
Pb2 Pb 0.0000 0.5000 0.6609
Br1 Br 0.0000 0.5000 0.2728
```

Calculated values
- E_form (uncorrected): 0.242 eV/atom
- Crystal system: orthorhombic

---

[6]
Ca2MgHg: optimized geometry, PBEsol.

Cell and atoms, written as CIF:
```
data_Ca2MgHg
_symmetry_space_group_name_H-M 'P 4 m m'
_symmetry_Int_Tables_number 99
_symmetry_space_group_name_Hall 'P 4 -2'
_cell_length_a 3.6885
_cell_length_b 3.6885
_cell_length_c 8.4918
_cell_angle_alpha 90.00
_cell_angle_beta 90.00
_cell_angle_gamma 90.00
loop_
_atom_site_label
_atom_site_type_symbol
_atom_site_fract_x
_atom_site_fract_y
_atom_site_fract_z
Ca1 Ca 0.0000 0.0000 0.0000
Ca2 Ca 0.5000 0.5000 0.3485
Mg1 Mg 0.5000 0.5000 0.7424
Hg1 Hg 0.0000 0.0000 0.5683
```

Calculated values
- E above lowest polymorph: 0.325 eV/f.u.
- Crystal system: tetragonal
- ΔH_f (0 K): -0.281 eV/atom

---

[7]
InCuSe2: optimized geometry, PBEsol.

Cell and atoms, written as CIF:
```
data_InCuSe2
_symmetry_space_group_name_H-M 'I -4 2 d'
_symmetry_Int_Tables_number 122
_symmetry_space_group_name_Hall 'I -4 2bw'
_cell_length_a 5.7637
_cell_length_b 5.7637
_cell_length_c 11.5884
_cell_angle_alpha 90.00
_cell_angle_beta 90.00
_cell_angle_gamma 90.00
loop_
_atom_site_label
_atom_site_type_symbol
_atom_site_fract_x
_atom_site_fract_y
_atom_site_fract_z
In1 In 0.0000 0.0000 0.0000
Cu1 Cu 0.0000 0.0000 0.5000
Se1 Se 0.2160 0.2500 0.6250
```

Calculated values
- E_form (uncorrected): -0.408 eV/atom
- Crystal system: tetragonal

---

[8]
PtS2Cl8: optimized geometry, PBEsol.

Cell and atoms, written as CIF:
```
data_PtS2Cl8
_symmetry_space_group_name_H-M 'P 1 21/c 1'
_symmetry_Int_Tables_number 14
_symmetry_space_group_name_Hall '-P 2ybc'
_cell_length_a 6.2987
_cell_length_b 7.0557
_cell_length_c 12.5430
_cell_angle_alpha 90.00
_cell_angle_beta 94.94
_cell_angle_gamma 90.00
loop_
_atom_site_label
_atom_site_type_symbol
_atom_site_fract_x
_atom_site_fract_y
_atom_site_fract_z
Pt1 Pt 0.0000 0.0000 0.0000
S1 S 0.2857 0.2045 0.9773
Cl1 Cl 0.1972 0.6648 0.3827
Cl2 Cl 0.2256 0.1647 0.3354
Cl3 Cl 0.2366 0.5953 0.6416
Cl4 Cl 0.2589 0.0791 0.5800
```

Calculated values
- E_form (uncorrected): -0.338 eV/atom
- Crystal system: monoclinic